[1]
Here is CeHBrF after structural relaxation from Alexandria. Energies are from PBE-GGA.

Geometry as POSCAR:
```
CeHBrF
1.0
3.513 0.000 -0.001
0.000 3.523 0.002
-1.759 -0.006 7.023
Br Ce F H
1 1 1 1
direct
0.261 0.430 0.522
0.620 0.930 0.241
0.476 0.929 0.952
0.073 0.430 0.146
```

Uncorrected energy, eV/cell: -19.2
D(E_F), states/eV per atom: 1.311

***

[2]
Here is Rb2CeBr4F2 after structural relaxation from Alexandria. Energies are from PBE-GGA.

Geometry as POSCAR:
```
Rb2CeBr4F2
1.0
6.035 -0.009 -0.006
1.349 7.253 0.010
1.349 2.672 6.743
Ce Br F Rb
1 4 2 2
direct
0.500 0.000 0.000
0.703 0.847 0.358
0.703 0.358 0.847
0.297 0.642 0.153
0.297 0.153 0.642
0.776 0.862 0.862
0.224 0.138 0.138
0.829 0.327 0.327
0.171 0.673 0.673
```

Energy relative to the elements, uncorrected, eV/atom: -2.2679

***

[3]
Here is CeTl2Br2F4 after structural relaxation from Alexandria. Energies are from PBE-GGA.

Geometry as POSCAR:
```
CeTl2Br2F4
1.0
-7.054 0.920 -0.452
3.237 -5.854 -2.463
3.267 -1.377 6.184
Tl F Br Ce
2 4 2 1
direct
0.500 0.250 0.750
0.500 0.750 0.250
0.435 0.218 0.218
0.565 0.782 0.782
0.000 0.782 0.218
0.000 0.218 0.782
0.000 0.721 0.721
0.000 0.279 0.279
0.000 0.000 0.000
```

Energy relative to the elements, uncorrected, eV/atom: -2.3303

***

[4]
Here is CeFe2Br8 after structural relaxation from Alexandria. Energies are from PBE-GGA.

Geometry as POSCAR:
```
CeFe2Br8
1.0
6.609 0.108 0.184
0.220 7.913 1.805
0.181 -0.394 8.108
Fe Br Ce
2 8 1
direct
0.353 0.201 0.201
0.647 0.799 0.799
0.724 0.193 0.193
0.225 0.376 0.376
0.276 0.807 0.807
0.775 0.624 0.624
0.244 0.289 0.914
0.756 0.086 0.711
0.244 0.914 0.289
0.756 0.711 0.086
0.000 0.000 0.000
```

Energy relative to the elements, uncorrected, eV/atom: -0.9492
D(E_F), states/eV per atom: 0.852